#one
The following is a PBE-GGA calculation of ErCoSn4 after structural relaxation, from Alexandria via LeMat-Bulk.

Output
Crystal system ... monoclinic

abc: 5.621 5.289 9.267
angles: 90.00 93.68 90.00
Space group C2/m (No. 12)
Asymmetric unit:
Er  0.000  0.000  0.000
Co  0.000  0.500  0.500
Sn  0.046  0.500  0.198
Sn  0.085  0.000  0.359

***

#two
The following is a PBE-GGA calculation of ErCoSn4 after structural relaxation, from Alexandria via LeMat-Bulk.

Output
Crystal system ... orthorhombic

abc: 4.377 28.741 4.383
angles: 90.00 90.00 90.00
Space group Cmmm (No. 65)
Asymmetric unit:
Er  0.000  0.193  0.000
Co  0.000  0.450  0.500
Sn  0.000  0.000  0.500
Sn  0.000  0.108  0.500
Sn  0.000  0.286  0.500
Sn  0.000  0.392  0.000
Sn  0.000  0.500  0.000

***

Name the most stable of them. #two.

***

#one
The following is a PBE-GGA calculation of SrEr2Co after structural relaxation, from Alexandria via LeMat-Bulk.

Output
Crystal system ... trigonal

abc: 3.8558 3.8558 31.6144
angles: 90.00 90.00 120.00
Space group R-3m (No. 166, hexagonal axes)
Asymmetric unit:
Sr  0.0000  0.0000  0.0000
Er  0.0000  0.0000  0.1222
Co  0.0000  0.0000  0.5000

***

#two
The following is a PBE-GGA calculation of SrEr2Co after structural relaxation, from Alexandria via LeMat-Bulk.

Output
Crystal system ... tetragonal

abc: 3.420 3.420 9.718
angles: 90.00 90.00 90.00
Space group P4/mmm (No. 123)
Asymmetric unit:
Sr  0.000  0.000  0.000
Er  0.500  0.500  0.339
Co  0.000  0.000  0.500

***

Name the most stable of them. #two.